[1]
## La2HoTm2 (GGA-PBE)

Data for a geometry-optimized La2HoTm2 structure.

Properties
- ΔH_f (0 K): 0.132 eV/f.u.
- Excess energy over the best structure of this formula in the dataset: 0 meV/atom

Unit cell a=8.561 b=8.561 c=6.826 alpha=102.96 beta=102.96 gamma=43.13
Atoms (fractional coordinates):
La  0.019  0.183  0.443
La  0.183  0.019  0.943
La  0.817  0.981  0.057
La  0.981  0.817  0.557
Ho  0.416  0.584  0.250
Ho  0.584  0.416  0.750
Tm  0.220  0.379  0.850
Tm  0.379  0.220  0.350
Tm  0.621  0.780  0.650
Tm  0.780  0.621  0.150

***

[2]
## LaThIn (GGA-PBE)

Data for a geometry-optimized LaThIn structure.

Properties
- ΔH_f (0 K): -0.590 eV/f.u.
- Excess energy over the best structure of this formula in the dataset: 30 meV/atom

Unit cell a=4.204 b=4.204 c=10.411 alpha=90.00 beta=90.00 gamma=90.00
Atoms (fractional coordinates):
La  0.000  0.000  0.000
La  0.500  0.500  0.500
Th  0.000  0.000  0.315
Th  0.500  0.500  0.815
In  0.000  0.000  0.659
In  0.500  0.500  0.159

***

[3]
## MgIO12 (GGA-PBE)

Data for a geometry-optimized MgIO12 structure.

Properties
- Raw formation energy: 0.04 eV per atom

Unit cell a=7.283 b=10.097 c=8.993 alpha=90.00 beta=121.92 gamma=90.00
Atoms (fractional coordinates):
Mg  0.000  0.089  0.000
Mg  0.000  0.911  0.500
I  0.966  0.185  0.377
I  0.966  0.815  0.877
O  0.035  0.170  0.209
O  0.035  0.830  0.709
O  0.116  0.351  0.458
O  0.116  0.649  0.958
O  0.117  0.355  0.029
O  0.117  0.645  0.529
O  0.181  0.114  0.871
O  0.181  0.886  0.371
O  0.189  0.083  0.552
O  0.189  0.917  0.052
O  0.381  0.159  0.944
O  0.381  0.841  0.444
O  0.496  0.100  0.897
O  0.496  0.900  0.397
O  0.750  0.318  0.250
O  0.750  0.682  0.750
O  0.782  0.042  0.317
O  0.782  0.958  0.817
O  0.803  0.262  0.848
O  0.803  0.738  0.348
O  0.892  0.262  0.537
O  0.892  0.738  0.037
O  0.919  0.371  0.910
O  0.919  0.629  0.410

***

[4]
## CdP2O (GGA-PBE)

Data for a geometry-optimized CdP2O structure.

Properties
- Raw formation energy: 0.07 eV per atom
- Excess energy over the best structure of this formula in the dataset: 0 meV/atom

Unit cell a=4.651 b=4.651 c=13.072 alpha=90.00 beta=90.00 gamma=90.00
Atoms (fractional coordinates):
Cd  0.000  0.000  0.000
Cd  0.000  0.500  0.250
Cd  0.500  0.000  0.750
Cd  0.500  0.500  0.500
P  0.084  0.250  0.625
P  0.250  0.584  0.875
P  0.250  0.916  0.375
P  0.416  0.250  0.125
P  0.584  0.750  0.125
P  0.750  0.084  0.375
P  0.750  0.416  0.875
P  0.916  0.750  0.625
O  0.000  0.000  0.500
O  0.000  0.500  0.750
O  0.500  0.000  0.250
O  0.500  0.500  0.000

***

[5]
## SmTmSc2 (GGA-PBE)

Data for a geometry-optimized SmTmSc2 structure.

Properties
- ΔH_f (0 K): 0.219 eV/f.u.
- Excess energy over the best structure of this formula in the dataset: 1 meV/atom

Unit cell a=4.893 b=4.893 c=4.679 alpha=90.00 beta=90.00 gamma=90.00
Atoms (fractional coordinates):
Sm  0.000  0.000  0.000
Tm  0.500  0.500  0.000
Sc  0.000  0.500  0.500
Sc  0.500  0.000  0.500

***

[6]
## AlCu2F6 (GGA-PBE)

Data for a geometry-optimized AlCu2F6 structure.

Properties
- Raw formation energy: -2.30 eV per atom

Unit cell a=5.457 b=4.979 c=10.051 alpha=90.00 beta=122.82 gamma=90.00
Atoms (fractional coordinates):
Al  0.000  0.000  0.000
Al  0.000  0.500  0.500
Cu  0.308  0.004  0.805
Cu  0.308  0.496  0.305
Cu  0.692  0.504  0.695
Cu  0.692  0.996  0.195
F  0.033  0.219  0.155
F  0.033  0.281  0.655
F  0.272  0.726  0.651
F  0.272  0.774  0.151
F  0.304  0.167  0.002
F  0.304  0.333  0.502
F  0.696  0.667  0.498
F  0.696  0.833  0.998
F  0.728  0.226  0.849
F  0.728  0.274  0.349
F  0.967  0.719  0.345
F  0.967  0.781  0.845

***

[7]
## TlAgAs2 (GGA-PBE)

Data for a geometry-optimized TlAgAs2 structure.

Properties
- ΔH_f (0 K): 1.420 eV/f.u.
- Excess energy over the best structure of this formula in the dataset: 227 meV/atom

Unit cell a=4.577 b=4.577 c=8.349 alpha=90.00 beta=90.00 gamma=90.00
Atoms (fractional coordinates):
Tl  0.000  0.000  0.000
Tl  0.500  0.500  0.500
Ag  0.000  0.500  0.750
Ag  0.500  0.000  0.250
As  0.000  0.000  0.500
As  0.000  0.500  0.250
As  0.500  0.000  0.750
As  0.500  0.500  0.000

***

[8]
## La2TcPtN (GGA-PBE)

Data for a geometry-optimized La2TcPtN structure.

Properties
- Raw formation energy: -0.82 eV per atom

Unit cell a=5.225 b=5.225 c=3.864 alpha=90.00 beta=90.00 gamma=90.00
Atoms (fractional coordinates):
La  0.000  0.500  0.000
La  0.500  0.000  0.000
Tc  0.000  0.000  0.500
Pt  0.500  0.500  0.500
N  0.000  0.000  0.000

***

[9]
## NaSr2ZnAu (GGA-PBE)

Data for a geometry-optimized NaSr2ZnAu structure.

Properties
- ΔH_f (0 K): -1.219 eV/f.u.

Unit cell a=6.132 b=6.132 c=4.998 alpha=90.00 beta=90.00 gamma=90.00
Atoms (fractional coordinates):
Na  0.000  0.000  0.000
Sr  0.000  0.500  0.500
Sr  0.500  0.000  0.500
Zn  0.500  0.500  0.000
Au  0.500  0.500  0.500

***

[10]
## TbDyErSc2 (GGA-PBE)

Data for a geometry-optimized TbDyErSc2 structure.

Properties
- ΔH_f (0 K): 1.771 eV/f.u.

Unit cell a=8.849 b=8.849 c=6.042 alpha=90.00 beta=90.00 gamma=140.07
Atoms (fractional coordinates):
Tb  0.154  0.846  0.750
Tb  0.846  0.154  0.250
Dy  0.249  0.751  0.250
Dy  0.751  0.249  0.750
Er  0.348  0.652  0.750
Er  0.652  0.348  0.250
Sc  0.250  0.250  0.000
Sc  0.250  0.250  0.500
Sc  0.750  0.750  0.000
Sc  0.750  0.750  0.500

***

[11]
## LaTc4Se2 (GGA-PBE)

Data for a geometry-optimized LaTc4Se2 structure.

Properties
- Raw formation energy: 1.59 eV per atom

Unit cell a=4.825 b=4.825 c=12.984 alpha=90.00 beta=90.00 gamma=90.00
Atoms (fractional coordinates):
La  0.000  0.000  0.000
La  0.500  0.500  0.500
Tc  0.000  0.000  0.206
Tc  0.000  0.000  0.794
Tc  0.000  0.500  0.000
Tc  0.000  0.500  0.500
Tc  0.500  0.000  0.000
Tc  0.500  0.000  0.500
Tc  0.500  0.500  0.294
Tc  0.500  0.500  0.706
Se  0.000  0.000  0.389
Se  0.000  0.000  0.611
Se  0.500  0.500  0.111
Se  0.500  0.500  0.889

***

| no. | electronic total energy (eV/f.u.) |
| --- | --- |
| 1 | -23.2 |
| 2 | -15.7 |
| 3 | -62.1 |
| 4 | -16.4 |
| 5 | -21.6 |
| 6 | -43.8 |
| 7 | -13.1 |
| 8 | -38.7 |
| 9 | -10.5 |
| 10 | -24.7 |
| 11 | -42.2 |